No. 1
Here is Ce2HoGa2Ag2 after structural relaxation from Alexandria via LeMat-Bulk. Energies are from GGA-PBE.

Formation enthalpy at 0 K   -0.357 eV/atom
Magnetization   1.28 μB per formula unit

Geometry as POSCAR:
```
Ce2HoGa2Ag2
1.0
-1.8596 2.7695 3.0385
-3.6750 2.3874 -1.0748
-6.9262 -4.8196 3.5044
Ce Ho Ga Ag
2 1 2 2
direct
0.1400 0.1400 0.5801
0.8600 0.8600 0.4199
0.0000 0.0000 0.0000
0.7368 0.7368 0.7897
0.2632 0.2632 0.2103
0.5987 0.5987 0.2039
0.4013 0.4013 0.7961
```

=====

No. 2
Here is MnW after structural relaxation from Alexandria via LeMat-Bulk. Energies are from GGA-PBE.

Formation enthalpy at 0 K   0.303 eV/atom
Magnetization   0.00 μB per formula unit

Geometry as POSCAR:
```
MnW
1.0
4.8081 0.0000 0.0000
0.0000 4.8081 0.0000
0.0000 0.0000 4.8081
Mn W
4 4
direct
0.3943 0.3943 0.3943
0.1057 0.6057 0.8943
0.6057 0.8943 0.1057
0.8943 0.1057 0.6057
0.0989 0.0989 0.0989
0.4011 0.9011 0.5989
0.9011 0.5989 0.4011
0.5989 0.4011 0.9011
```

=====

No. 3
Here is LaH2Br after structural relaxation from Alexandria via LeMat-Bulk. Energies are from GGA-PBE.

Magnetization   0.00 μB per formula unit
Total energy   -35.245 eV for the cell shown

Geometry as POSCAR:
```
LaH2Br
1.0
4.0055 0.0000 0.0000
0.0000 6.0007 0.0000
0.0000 0.0000 5.6890
La H Br
2 4 2
direct
0.2500 0.7500 0.3354
0.7500 0.2500 0.6646
0.7500 0.9477 0.4093
0.2500 0.0523 0.5907
0.2500 0.4477 0.5907
0.7500 0.5523 0.4093
0.7500 0.7500 0.9041
0.2500 0.2500 0.0959
```

=====

No. 4
Here is HfBr2Cl after structural relaxation from Alexandria via LeMat-Bulk. Energies are from GGA-PBE.

Energy relative to the elements, uncorrected   -0.406 eV per atom
Magnetization   0.99 μB per formula unit

Geometry as POSCAR:
```
HfBr2Cl
1.0
0.2253 -0.8107 4.8531
-2.7014 -3.5858 2.0259
2.1913 -4.0624 1.7192
Hf Br Cl
1 2 1
direct
0.5000 0.5000 0.5000
0.2500 0.2500 0.2500
0.7500 0.7500 0.7500
0.0000 0.0000 0.0000
```

=====

No. 5
Here is NaTlGaI3 after structural relaxation from Alexandria via LeMat-Bulk. Energies are from GGA-PBE.

Energy relative to the elements, uncorrected   -0.734 eV per atom
Magnetization   0.00 μB per formula unit

Geometry as POSCAR:
```
NaTlGaI3
1.0
4.5523 0.0000 0.0000
0.0000 9.0709 -0.2521
0.0000 -2.6771 11.4558
Na Tl Ga I
2 2 2 6
direct
0.2500 0.6521 0.1535
0.7500 0.3479 0.8465
0.2500 0.2604 0.2924
0.7500 0.7396 0.7076
0.2500 0.0962 0.5390
0.7500 0.9038 0.4610
0.7500 0.9199 0.2221
0.2500 0.0801 0.7779
0.2500 0.6634 0.4349
0.7500 0.3366 0.5651
0.7500 0.3874 0.1226
0.2500 0.6126 0.8774
```

=====

No. 6
Here is BaTc2Os after structural relaxation from Alexandria via LeMat-Bulk. Energies are from GGA-PBE.

Formation enthalpy at 0 K   1.141 eV/atom
Magnetization   0.00 μB per formula unit

Geometry as POSCAR:
```
BaTc2Os
1.0
5.7712 -0.1972 -0.0046
2.6177 5.1471 0.0046
-3.3854 -3.8461 2.6631
Ba Os Tc
1 1 2
direct
0.5026 0.5026 0.0000
0.2080 0.7080 0.5000
0.9947 0.9947 0.0000
0.7947 0.2947 0.5000
```